First-principles (PBE+U) data for a relaxed structure of Rb2PtWF6, as listed in the Alexandria database.

Lattice parameters (Å, degrees): 6.3933 6.3933 6.3933 115.68 115.68 97.65
Fractional positions:
Rb1 0.2500 0.7500 0.5000
Rb2 0.7500 0.2500 0.5000
Pt1 0.0000 0.0000 0.0000
W1 0.5000 0.5000 0.0000
F1 0.2469 0.2469 0.0000
F2 0.2814 0.2814 0.5628
F3 0.2814 0.7186 0.0000
F4 0.7186 0.2814 0.0000
F5 0.7186 0.7186 0.4372
F6 0.7531 0.7531 0.0000

## Properties
**Total magnetic moment**: 4.00 μB/cell
**Final energy**: -46.89 eV per cell